The following is a DFT calculation (PBE) of BeCrP4 after structural relaxation.

abc: 4.9433 4.9433 4.9433
angles: 60.00 60.00 60.00
Each line ends with the local moment (μB).
Fractional positions:
P  0.3767  0.8699  0.3767  0.01
P  0.8699  0.3767  0.3767  0.01
P  0.3767  0.3767  0.8699  0.01
P  0.3767  0.3767  0.3767  0.01
Be  0.7500  0.7500  0.7500  -0.06
Cr  0.0000  0.0000  0.0000  3.45

Calculated values
V: 14.24 Å³/atom
Electronic total energy: -5.054 eV/atom
M_tot: 3.740 Bohr magnetons per cell